A plane-wave DFT calculation with PBE was carried out for a relaxed Re2WAu crystal.

Summary:
N(E_F) = 2.98 states/eV per cell
E above lowest polymorph = 0.101 eV/atom
Mass density = 19.45 Mg/m³

Cell: 2.866 3.953 5.675 Å, 90.00 90.06 90.00°
Space group P2/m (No. 10)
Inequivalent atoms, fractional coordinates:
Re1 0.003 0.000 0.277 (multiplicity 2)
W1 0.500 0.500 0.500 (multiplicity 1)
Au1 0.500 0.500 0.000 (multiplicity 1)

***

A plane-wave DFT calculation with PBE was carried out for a relaxed Re2WAu crystal.

Summary:
N(E_F) = 7.05 states/eV per cell
E above lowest polymorph = 0.101 eV/atom
Mass density = 19.70 Mg/m³

Cell: 9.356 2.882 4.802 Å, 90.00 101.31 90.00°
Space group Cm (No. 8)
Inequivalent atoms, fractional coordinates:
Re1 0.000 0.000 0.000 (multiplicity 2)
Re2 0.240 0.500 0.216 (multiplicity 2)
W1 0.487 0.000 0.465 (multiplicity 2)
Au1 0.243 0.000 0.724 (multiplicity 2)

***

A plane-wave DFT calculation with PBE was carried out for a relaxed Re2WAu crystal.

Summary:
N(E_F) = 5.96 states/eV per cell
E above lowest polymorph = 0.111 eV/atom
Mass density = 19.37 Mg/m³

Cell: 3.145 4.451 9.223 Å, 90.00 90.00 90.00°
Space group Cmmm (No. 65)
Inequivalent atoms, fractional coordinates:
Re1 0.000 0.000 0.235 (multiplicity 4)
W1 0.000 0.500 0.000 (multiplicity 2)
Au1 0.000 0.500 0.500 (multiplicity 2)

***

A plane-wave DFT calculation with PBE was carried out for a relaxed ReWAu crystal.

Summary:
N(E_F) = 7.39 states/eV per cell
E above lowest polymorph = 0.102 eV/atom
Mass density = 19.22 Mg/m³

Cell: 2.842 2.842 12.129 Å, 90.00 90.00 90.00°
Space group I4mm (No. 107)
Inequivalent atoms, fractional coordinates:
Re1 0.000 0.000 0.000 (multiplicity 2)
W1 0.000 0.000 0.350 (multiplicity 2)
Au1 0.000 0.000 0.675 (multiplicity 2)

***

A plane-wave DFT calculation with PBE was carried out for a relaxed ReWAu4 crystal.

Summary:
N(E_F) = 19.91 states/eV per cell
Mass density = 18.16 Mg/m³
Uncorrected energy = -5.438 eV/atom

Cell: 7.510 7.510 7.510 Å, 90.00 90.00 90.00°
Space group F-43m (No. 216)
Inequivalent atoms, fractional coordinates:
Re1 0.000 0.000 0.000 (multiplicity 4)
W1 0.250 0.250 0.250 (multiplicity 4)
Au1 0.125 0.125 0.625 (multiplicity 16)

***

A plane-wave DFT calculation with PBE was carried out for a relaxed Re2WAu crystal.

Summary:
N(E_F) = 5.64 states/eV per cell
E above lowest polymorph = 0.147 eV/atom
Mass density = 19.84 Mg/m³

Cell: 5.595 7.754 2.906 Å, 90.00 90.00 90.00°
Space group Cmmm (No. 65)
Inequivalent atoms, fractional coordinates:
Re1 0.250 0.250 0.000 (multiplicity 4)
W1 0.000 0.000 0.500 (multiplicity 2)
Au1 0.000 0.500 0.500 (multiplicity 2)

***

A plane-wave DFT calculation with PBE was carried out for a relaxed Re2WAu crystal.

Summary:
N(E_F) = 6.04 states/eV per cell
E above lowest polymorph = 0.119 eV/atom
Mass density = 19.90 Mg/m³

Cell: 3.998 3.998 7.864 Å, 90.00 90.00 90.00°
Space group I4/mmm (No. 139)
Inequivalent atoms, fractional coordinates:
Re1 0.000 0.500 0.250 (multiplicity 4)
W1 0.000 0.000 0.000 (multiplicity 2)
Au1 0.000 0.000 0.500 (multiplicity 2)

***

A plane-wave DFT calculation with PBE was carried out for a relaxed ReWAu3 crystal.

Summary:
N(E_F) = 4.97 states/eV per cell
Mass density = 12.55 Mg/m³
Uncorrected energy = -4.889 eV/atom

Cell: 5.028 5.028 5.028 Å, 90.00 90.00 90.00°
Space group Pm-3m (No. 221)
Inequivalent atoms, fractional coordinates:
Re1 0.000 0.000 0.000 (multiplicity 1)
W1 0.500 0.500 0.500 (multiplicity 1)
Au1 0.000 0.500 0.500 (multiplicity 3)

***

- What is the N(E_F) in the seventh record?
  6.04 states/eV per cell